# 1
# Li12Bi3F5

An optimized crystal structure of Li12Bi3F5 (PBE, Alexandria via LeMat-Bulk).

Values from the calculation:
Raw formation energy = -1.518 eV per atom

abc: 13.9027 13.9027 13.9027
angles: 90.00 90.00 90.00
Space group Ia-3d (No. 230)
One atom of each set of equivalent atoms:
Li 0.0396 0.0444 0.6487 [96 per cell]
Bi 0.0000 0.2500 0.1250 [24 per cell]
F 0.0000 0.0000 0.0000 [16 per cell]
F 0.0000 0.2500 0.3750 [24 per cell]

=====

# 2
# LiBiF5

An optimized crystal structure of LiBiF5 (PBE, Alexandria via LeMat-Bulk).

Values from the calculation:
Distance to the lowest polymorph of the same formula = 0.0072 eV per atom
Raw formation energy = -2.309 eV per atom

abc: 8.6904 7.5777 8.5324
angles: 90.00 119.98 90.00
Space group C2/c (No. 15)
One atom of each set of equivalent atoms:
Li 0.0000 0.1647 0.2500 [4 per cell]
Bi 0.2500 0.2500 0.0000 [4 per cell]
F 0.0000 0.3188 0.7500 [4 per cell]
F 0.1231 0.2929 0.1560 [8 per cell]
F 0.1609 0.0173 0.4493 [8 per cell]

=====

# 3
# Li3BiF

An optimized crystal structure of Li3BiF (PBE, Alexandria via LeMat-Bulk).

Values from the calculation:
Distance to the lowest polymorph of the same formula = 0.9057 eV per atom
Raw formation energy = -0.445 eV per atom

abc: 5.3500 5.3500 5.3500
angles: 90.00 90.00 90.00
Space group Pm-3m (No. 221)
One atom of each set of equivalent atoms:
Li 0.0000 0.0000 0.5000 [3 per cell]
Bi 0.0000 0.0000 0.0000 [1 per cell]
F 0.5000 0.5000 0.5000 [1 per cell]